# 1
First-principles (meta-GGA SCAN) data for a PBEsol-optimized structure of Y2Si, as listed in the Alexandria database.

Geometry as POSCAR:
```
Y2Si
1.0
0.0000 3.3907 3.3907
3.3907 0.0000 3.3907
3.3907 3.3907 0.0000
Y Si
2 1
direct
0.2500 0.2500 0.2500
0.7500 0.7500 0.7500
0.0000 0.0000 0.0000
```

Density of states at the Fermi level, states/eV/cell: 2.1
E_form (uncorrected), kJ/mol of formula units: -162
Total magnetic moment, μB/f.u.: 0.000
Total energy, eV/cell: -67.4

***

# 2
First-principles (meta-GGA SCAN) data for a PBEsol-optimized structure of Y2Si, as listed in the Alexandria database.

Geometry as POSCAR:
```
Y2Si
1.0
2.0967 -5.6095 0.0000
2.0967 5.6095 0.0000
0.0000 0.0000 6.3190
Y Si
4 2
direct
0.0000 0.0000 0.0000
0.0000 0.0000 0.5000
0.2936 0.7064 0.7500
0.7064 0.2936 0.2500
0.3850 0.6150 0.2500
0.6150 0.3850 0.7500
```

Density of states at the Fermi level, states/eV/cell: 2.4
E_form (uncorrected), kJ/mol of formula units: -179
Total magnetic moment, μB/f.u.: 0.000
Total energy, eV/cell: -135.1

***

# 3
First-principles (meta-GGA SCAN) data for a PBEsol-optimized structure of YSi4, as listed in the Alexandria database.

Geometry as POSCAR:
```
YSi4
1.0
-3.4544 3.4544 1.7335
3.4544 -3.4544 1.7335
3.4544 3.4544 -1.7335
Y Si
1 4
direct
0.0000 0.0000 0.0000
0.1688 0.3806 0.5494
0.3806 0.8312 0.2118
0.6194 0.1688 0.7882
0.8312 0.6194 0.4506
```

Density of states at the Fermi level, states/eV/cell: 2.0
E_form (uncorrected), kJ/mol of formula units: 8
Total magnetic moment, μB/f.u.: 0.000
Total energy, eV/cell: -67.8

***

# 4
First-principles (meta-GGA SCAN) data for a PBEsol-optimized structure of Y2Si, as listed in the Alexandria database.

Geometry as POSCAR:
```
Y2Si
1.0
5.4912 -2.0586 0.0000
5.4912 2.0586 0.0000
-4.6001 0.0000 6.5231
Y Si
4 2
direct
0.0855 0.0855 0.3618
0.3269 0.3269 0.9246
0.6731 0.6731 0.0754
0.9145 0.9145 0.6382
0.3765 0.3765 0.3416
0.6235 0.6235 0.6584
```

Density of states at the Fermi level, states/eV/cell: 5.5
E_form (uncorrected), kJ/mol of formula units: -169
Total magnetic moment, μB/f.u.: 0.000
Total energy, eV/cell: -134.9

***

# 5
First-principles (meta-GGA SCAN) data for a PBEsol-optimized structure of YZr2Si, as listed in the Alexandria database.

Geometry as POSCAR:
```
YZr2Si
1.0
3.0618 0.0000 0.0000
0.0000 3.0618 0.0000
0.0000 0.0000 9.1540
Y Zr Si
1 2 1
direct
0.0000 0.0000 0.0000
0.5000 0.5000 0.3028
0.5000 0.5000 0.6972
0.0000 0.0000 0.5000
```

Density of states at the Fermi level, states/eV/cell: 4.7
E_form (uncorrected), kJ/mol of formula units: -57
Total magnetic moment, μB/f.u.: 1.052
Total energy, eV/cell: -99.8
Relative energy among the computed polymorphs, kJ/mol of formula units: 40

***

# 6
First-principles (meta-GGA SCAN) data for a PBEsol-optimized structure of YZr2Si, as listed in the Alexandria database.

Geometry as POSCAR:
```
YZr2Si
1.0
5.4309 -1.5742 0.0000
5.4309 1.5742 0.0000
-1.4301 0.0000 5.0063
Y Zr Si
1 2 1
direct
0.0000 0.0000 0.0000
0.2193 0.2193 0.7165
0.7807 0.7807 0.2835
0.5000 0.5000 0.5000
```

Density of states at the Fermi level, states/eV/cell: 3.6
E_form (uncorrected), kJ/mol of formula units: -88
Total magnetic moment, μB/f.u.: 0.000
Total energy, eV/cell: -100.2
Relative energy among the computed polymorphs, kJ/mol of formula units: 9

***

# 7
First-principles (meta-GGA SCAN) data for a PBEsol-optimized structure of YZr2Si, as listed in the Alexandria database.

Geometry as POSCAR:
```
YZr2Si
1.0
4.3424 0.0000 0.0000
0.0000 4.3424 0.0000
0.0000 0.0000 4.3406
Y Zr Si
1 2 1
direct
0.0000 0.0000 0.0000
0.0000 0.5000 0.5000
0.5000 0.0000 0.5000
0.5000 0.5000 0.0000
```

Density of states at the Fermi level, states/eV/cell: 3.7
E_form (uncorrected), kJ/mol of formula units: -94
Total magnetic moment, μB/f.u.: 0.000
Total energy, eV/cell: -100.2
Relative energy among the computed polymorphs, kJ/mol of formula units: 3

***

# 8
First-principles (meta-GGA SCAN) data for a PBEsol-optimized structure of Y4ZrSi3, as listed in the Alexandria database.

Geometry as POSCAR:
```
Y4ZrSi3
1.0
8.2575 0.0000 0.0000
-4.1287 7.1512 0.0000
0.0000 0.0000 6.1248
Y Zr Si
8 2 6
direct
0.0000 0.2446 0.2552
0.0000 0.7554 0.7448
0.2446 0.0000 0.2552
0.2446 0.2446 0.7448
0.3333 0.6667 0.0000
0.6667 0.3333 0.0000
0.7554 0.0000 0.7448
0.7554 0.7554 0.2552
0.3333 0.6667 0.5000
0.6667 0.3333 0.5000
0.0000 0.4002 0.7219
0.0000 0.5998 0.2781
0.4002 0.0000 0.7219
0.4002 0.4002 0.2781
0.5998 0.0000 0.2781
0.5998 0.5998 0.7219
```

Density of states at the Fermi level, states/eV/cell: 8.6
E_form (uncorrected), kJ/mol of formula units: -594
Total magnetic moment, μB/f.u.: 0.000
Total energy, eV/cell: -356.5

***

# 9
First-principles (meta-GGA SCAN) data for a PBEsol-optimized structure of YZr2Si, as listed in the Alexandria database.

Geometry as POSCAR:
```
YZr2Si
1.0
-2.0098 2.2073 4.6899
2.0098 -2.2073 4.6899
2.0098 2.2073 -4.6899
Y Zr Si
1 2 1
direct
0.0000 0.0000 0.0000
0.4630 0.4630 0.0000
0.7378 0.2378 0.5000
0.2455 0.7455 0.5000
```

Density of states at the Fermi level, states/eV/cell: 3.1
E_form (uncorrected), kJ/mol of formula units: -79
Total magnetic moment, μB/f.u.: 0.000
Total energy, eV/cell: -100.1
Relative energy among the computed polymorphs, kJ/mol of formula units: 17

***

# 10
First-principles (meta-GGA SCAN) data for a PBEsol-optimized structure of YZr2Si, as listed in the Alexandria database.

Geometry as POSCAR:
```
YZr2Si
1.0
1.6640 0.9607 9.3011
-1.6640 0.9607 9.3011
0.0000 -1.9214 9.3011
Y Zr Si
1 2 1
direct
0.0000 0.0000 0.0000
0.5200 0.5200 0.5200
0.7658 0.7658 0.7658
0.2568 0.2568 0.2568
```

Density of states at the Fermi level, states/eV/cell: 3.9
E_form (uncorrected), kJ/mol of formula units: -23
Total magnetic moment, μB/f.u.: 0.000
Total energy, eV/cell: -99.5
Relative energy among the computed polymorphs, kJ/mol of formula units: 74

***

# 11
First-principles (meta-GGA SCAN) data for a PBEsol-optimized structure of Y2ZrSi, as listed in the Alexandria database.

Geometry as POSCAR:
```
Y2ZrSi
1.0
-1.8944 2.3028 5.2747
1.8944 -2.3028 5.2747
1.8944 2.3028 -5.2747
Y Zr Si
2 1 1
direct
0.2099 0.2099 0.0000
0.7901 0.7901 0.0000
0.5000 0.0000 0.5000
0.0000 0.5000 0.5000
```

Density of states at the Fermi level, states/eV/cell: 2.5
E_form (uncorrected), kJ/mol of formula units: -73
Total magnetic moment, μB/f.u.: 0.000
Total energy, eV/cell: -97.2
Relative energy among the computed polymorphs, kJ/mol of formula units: 6

***

# 12
First-principles (meta-GGA SCAN) data for a PBEsol-optimized structure of YZr2Si, as listed in the Alexandria database.

Geometry as POSCAR:
```
YZr2Si
1.0
-1.9238 2.2874 4.7841
1.9238 -2.2874 4.7841
1.9238 2.2874 -4.7841
Y Zr Si
1 2 1
direct
0.0000 0.0000 0.0000
0.2757 0.7757 0.5000
0.7243 0.2243 0.5000
0.5000 0.5000 0.0000
```

Density of states at the Fermi level, states/eV/cell: 3.0
E_form (uncorrected), kJ/mol of formula units: -97
Total magnetic moment, μB/f.u.: 0.000
Total energy, eV/cell: -100.3
Relative energy among the computed polymorphs, kJ/mol of formula units: 0